Tl2ZnPt at its PBEsol-relaxed geometry. Source: the Alexandria database, functional meta-GGA SCAN.

energy relative to the lowest polymorph listed for this composition = 0.000 eV per atom
calculated formation energy = 69 meV/atom
SG = Imm2

abc: 6.3272 6.3272 6.3272
angles: 152.45 134.88 53.69
Closest atoms and distances in Å follow each position.
Element x y z (fractional)
Tl1 0.0000 0.0000 0.0000  4 Pt 2.90, 2 Tl 3.01
Tl2 0.6983 0.1983 0.5000  4 Zn 2.98, 4 Tl 3.01-3.30, 2 Pt 3.12
Zn1 0.2744 0.7744 0.5000  2 Pt 2.55
Pt1 0.4567 0.4567 0.0000  2 Zn 2.55